Record 1
Material: SiHg2O
Method: DFT, PBE-GGA
State: optimized geometry

abc: 4.638 4.638 4.638
angles: 60.00 60.00 60.00
Positions (direct):
Si (0.500, 0.500, 0.500)
Hg (0.250, 0.250, 0.250)
Hg (0.750, 0.750, 0.750)
O (0.000, 0.000, 0.000)

Summary:
Space group   Fm-3m, No. 225
Crystal system   cubic
Energy above the most stable polymorph in this dataset   327 meV per atom

=====

Record 2
Material: Si3HgO
Method: DFT, PBE-GGA
State: optimized geometry

abc: 4.326 4.326 4.326
angles: 90.00 90.00 90.00
Positions (direct):
Si (0.000, 0.500, 0.000)
Si (0.000, 0.000, 0.500)
Si (0.500, 0.000, 0.000)
Hg (0.500, 0.500, 0.500)
O (0.000, 0.000, 0.000)

Summary:
Space group   Pm-3m, No. 221
Crystal system   cubic
Energy above the most stable polymorph in this dataset   0 meV per atom

=====

Record 3
Material: SiHgO3
Method: DFT, PBE-GGA
State: optimized geometry

abc: 6.759 6.170 10.145
angles: 53.71 25.26 58.64
Positions (direct):
Si (0.162, 0.081, 0.764)
Si (0.838, 0.919, 0.236)
Hg (0.307, 0.303, 0.050)
Hg (0.693, 0.697, 0.950)
O (0.247, 0.829, 0.689)
O (0.354, 0.076, 0.807)
O (0.057, 0.634, 0.265)
O (0.753, 0.171, 0.311)
O (0.646, 0.924, 0.193)
O (0.943, 0.366, 0.735)

Summary:
Space group   P-1, No. 2
Crystal system   triclinic

=====

Record 4
Material: SiHg3O
Method: DFT, PBE-GGA
State: optimized geometry

abc: 4.775 4.775 4.775
angles: 90.00 90.00 90.00
Positions (direct):
Si (0.500, 0.500, 0.500)
Hg (0.000, 0.500, 0.000)
Hg (0.000, 0.000, 0.500)
Hg (0.500, 0.000, 0.000)
O (0.000, 0.000, 0.000)

Summary:
Space group   Pm-3m, No. 221
Crystal system   cubic
Energy above the most stable polymorph in this dataset   34 meV per atom

=====

Record 5
Material: SiHgO3
Method: DFT, PBE-GGA
State: optimized geometry

abc: 4.106 4.106 4.106
angles: 90.00 90.00 90.00
Positions (direct):
Si (0.500, 0.500, 0.500)
Hg (0.000, 0.000, 0.000)
O (0.000, 0.500, 0.000)
O (0.000, 0.000, 0.500)
O (0.500, 0.000, 0.000)

Summary:
Space group   Pm-3m, No. 221
Crystal system   cubic

=====

Record 6
Material: SiHg2O
Method: DFT, PBE-GGA
State: optimized geometry

abc: 6.039 6.039 6.438
angles: 62.03 62.03 90.00
Positions (direct):
Si (0.000, 0.000, 0.000)
Si (0.750, 0.250, 0.500)
Hg (0.592, 0.125, 0.250)
Hg (0.158, 0.625, 0.250)
Hg (0.375, 0.408, 0.750)
Hg (0.875, 0.842, 0.750)
O (0.500, 0.500, 0.000)
O (0.250, 0.750, 0.500)

Summary:
Space group   I-42d, No. 122
Crystal system   tetragonal
Energy above the most stable polymorph in this dataset   0 meV per atom

=====

Record 7
Material: SiHg2O4
Method: DFT, PBE-GGA
State: optimized geometry

abc: 9.767 8.702 8.702
angles: 90.00 90.00 90.00
Positions (direct):
Si (0.000, 0.000, 0.500)
Si (0.500, 0.000, 0.500)
Si (0.000, 0.500, 0.000)
Si (0.500, 0.500, 0.000)
Hg (0.500, 0.248, 0.248)
Hg (0.000, 0.248, 0.752)
Hg (0.000, 0.752, 0.248)
Hg (0.500, 0.752, 0.752)
Hg (0.500, 0.748, 0.252)
Hg (0.000, 0.748, 0.748)
Hg (0.500, 0.252, 0.748)
Hg (0.000, 0.252, 0.252)
O (0.102, 0.110, 0.394)
O (0.398, 0.110, 0.606)
O (0.898, 0.894, 0.390)
O (0.602, 0.894, 0.610)
O (0.602, 0.106, 0.390)
O (0.898, 0.106, 0.610)
O (0.398, 0.890, 0.394)
O (0.102, 0.890, 0.606)
O (0.398, 0.610, 0.894)
O (0.102, 0.610, 0.106)
O (0.602, 0.394, 0.890)
O (0.898, 0.394, 0.110)
O (0.898, 0.606, 0.890)
O (0.602, 0.606, 0.110)
O (0.102, 0.390, 0.894)
O (0.398, 0.390, 0.106)

Summary:
Space group   P4_2/nbc, No. 133
Crystal system   tetragonal
Energy above the most stable polymorph in this dataset   96 meV per atom

=====

Record 8
Material: SiHg4O5
Method: DFT, PBE-GGA
State: optimized geometry

abc: 6.151 5.880 5.880
angles: 74.13 58.47 58.47
Positions (direct):
Si (0.033, 0.000, 0.000)
Hg (0.458, 0.383, 0.858)
Hg (0.841, 0.858, 0.617)
Hg (0.316, 0.142, 0.383)
Hg (0.699, 0.617, 0.142)
O (0.932, 0.276, 0.788)
O (0.208, 0.788, 0.724)
O (0.720, 0.212, 0.276)
O (0.996, 0.724, 0.212)
O (0.307, 0.000, 0.000)

Summary:
Space group   I4, No. 79
Crystal system   tetragonal

=====

Record 9
Material: SmSiHgO4
Method: DFT, PBE-GGA
State: optimized geometry

abc: 6.570 6.570 6.932
angles: 79.89 79.89 56.74
Positions (direct):
Sm (0.304, 0.304, 0.850)
Sm (0.696, 0.696, 0.150)
Si (0.635, 0.635, 0.736)
Si (0.365, 0.365, 0.264)
Hg (0.890, 0.890, 0.491)
Hg (0.110, 0.110, 0.509)
O (0.296, 0.296, 0.501)
O (0.704, 0.704, 0.499)
O (0.112, 0.521, 0.148)
O (0.505, 0.505, 0.254)
O (0.479, 0.888, 0.852)
O (0.521, 0.112, 0.148)
O (0.495, 0.495, 0.746)
O (0.888, 0.479, 0.852)

Summary:
Space group   C2/m, No. 12
Crystal system   monoclinic

=====

Record 10
Material: Sm2SiHgO6
Method: DFT, PBE-GGA
State: optimized geometry

abc: 5.047 5.312 5.312
angles: 90.00 90.00 90.00
Positions (direct):
Sm (0.997, 0.500, 0.000)
Sm (0.997, 0.000, 0.500)
Si (0.616, 0.000, 0.000)
Hg (0.517, 0.500, 0.500)
O (0.734, 0.222, 0.222)
O (0.734, 0.222, 0.778)
O (0.099, 0.500, 0.500)
O (0.284, 0.000, 0.000)
O (0.734, 0.778, 0.778)
O (0.734, 0.778, 0.222)

Summary:
Space group   P4mm, No. 99
Crystal system   tetragonal

=====

Record 11
Material: TaSiHgO
Method: DFT, PBE-GGA
State: optimized geometry

abc: 2.800 4.728 5.385
angles: 101.03 90.12 90.03
Positions (direct):
Ta (0.316, 0.048, 0.871)
Si (0.817, 0.526, 0.918)
Hg (0.820, 0.147, 0.368)
O (0.815, 0.726, 0.684)

Summary:
Space group   P1, No. 1
Crystal system   triclinic
Energy above the most stable polymorph in this dataset   155 meV per atom

=====

Record 12
Material: TaSiHgO
Method: DFT, PBE-GGA
State: optimized geometry

abc: 2.881 3.496 15.653
angles: 90.00 90.00 90.00
Positions (direct):
Ta (0.500, 0.000, 0.467)
Ta (0.500, 0.500, 0.967)
Si (0.000, 0.000, 0.056)
Si (0.000, 0.500, 0.556)
Hg (0.000, 0.000, 0.223)
Hg (0.000, 0.500, 0.723)
O (0.000, 0.000, 0.376)
O (0.000, 0.500, 0.876)

Summary:
Space group   Amm2, No. 38
Crystal system   orthorhombic
Energy above the most stable polymorph in this dataset   112 meV per atom

=====

Record 13
Material: TaSiHgO
Method: DFT, PBE-GGA
State: optimized geometry

abc: 9.587 2.989 5.203
angles: 90.00 100.66 90.00
Positions (direct):
Ta (0.803, 0.000, 0.582)
Ta (0.803, 0.500, 0.082)
Si (0.026, 0.000, 0.991)
Si (0.026, 0.500, 0.491)
Hg (0.333, 0.000, 0.094)
Hg (0.333, 0.500, 0.594)
O (0.679, 0.000, 0.208)
O (0.679, 0.500, 0.708)

Summary:
Space group   Cm, No. 8
Crystal system   monoclinic
Energy above the most stable polymorph in this dataset   0 meV per atom

=====

Record 14
Material: TaSiHgO
Method: DFT, PBE-GGA
State: optimized geometry

abc: 5.073 2.824 11.554
angles: 90.00 98.85 90.00
Positions (direct):
Ta (0.755, 0.000, 0.125)
Ta (0.755, 0.500, 0.625)
Si (0.109, 0.000, 0.543)
Si (0.109, 0.500, 0.043)
Hg (0.973, 0.000, 0.835)
Hg (0.973, 0.500, 0.335)
O (0.451, 0.000, 0.577)
O (0.451, 0.500, 0.077)

Summary:
Space group   Cm, No. 8
Crystal system   monoclinic
Energy above the most stable polymorph in this dataset   124 meV per atom

=====

Record 15
Material: TaSiHgO
Method: DFT, PBE-GGA
State: optimized geometry

abc: 5.018 2.841 5.991
angles: 90.00 97.86 90.00
Positions (direct):
Ta (0.212, 0.500, 0.338)
Si (0.858, 0.000, 0.499)
Hg (0.008, 0.000, 0.928)
O (0.513, 0.000, 0.437)

Summary:
Space group   Pm, No. 6
Crystal system   monoclinic
Energy above the most stable polymorph in this dataset   121 meV per atom

=====

Record 16
Material: TaSiHgO
Method: DFT, PBE-GGA
State: optimized geometry

abc: 2.967 2.967 9.263
angles: 90.00 90.00 120.00
Positions (direct):
Ta (0.667, 0.333, 0.202)
Si (0.000, 0.000, 0.968)
Hg (0.000, 0.000, 0.657)
O (0.000, 0.000, 0.332)

Summary:
Space group   P3m1, No. 156
Crystal system   trigonal
Energy above the most stable polymorph in this dataset   32 meV per atom

=====

Record 17
Material: TaSiHgO
Method: DFT, PBE-GGA
State: optimized geometry

abc: 2.929 2.929 25.722
angles: 90.00 90.00 120.00
Positions (direct):
Ta (0.000, 0.000, 0.007)
Ta (0.333, 0.667, 0.674)
Ta (0.667, 0.333, 0.341)
Si (0.000, 0.000, 0.466)
Si (0.333, 0.667, 0.132)
Si (0.667, 0.333, 0.799)
Hg (0.000, 0.000, 0.574)
Hg (0.333, 0.667, 0.241)
Hg (0.667, 0.333, 0.908)
O (0.000, 0.000, 0.394)
O (0.333, 0.667, 0.061)
O (0.667, 0.333, 0.728)

Summary:
Space group   R3m, No. 160
Crystal system   trigonal
Energy above the most stable polymorph in this dataset   167 meV per atom

=====

Record 18
Material: TaSiHgO
Method: DFT, PBE-GGA
State: optimized geometry

abc: 7.071 2.873 6.616
angles: 90.00 91.03 90.00
Positions (direct):
Ta (0.325, 0.000, 0.877)
Ta (0.325, 0.500, 0.377)
Si (0.983, 0.000, 0.019)
Si (0.983, 0.500, 0.519)
Hg (0.653, 0.000, 0.190)
Hg (0.653, 0.500, 0.690)
O (0.199, 0.000, 0.170)
O (0.199, 0.500, 0.670)

Summary:
Space group   Cm, No. 8
Crystal system   monoclinic
Energy above the most stable polymorph in this dataset   374 meV per atom

=====

Record 19
Material: TaSiHgO
Method: DFT, PBE-GGA
State: optimized geometry

abc: 2.857 5.330 5.311
angles: 90.00 90.00 90.00
Last column: magnetic moment on the atom in μB.
Positions (direct):
Ta (0.000, 0.000, 0.210)  0.22
Si (0.500, 0.000, 0.826)  0.00
Hg (0.500, 0.500, 0.163)  0.01
O (0.500, 0.000, 0.514)  0.01

Summary:
Space group   Pmm2, No. 25
Crystal system   orthorhombic
Energy above the most stable polymorph in this dataset   96 meV per atom

=====

Record 20
Material: SiTcHgO6
Method: DFT, PBE-GGA
State: optimized geometry

abc: 5.012 5.012 4.981
angles: 90.00 90.00 60.00
Last column: magnetic moment on the atom in μB.
Positions (direct):
Si (0.333, 0.333, 0.500)  0.02
Tc (0.667, 0.667, 0.500)  0.75
Hg (0.000, 0.000, 0.000)  0.02
O (0.019, 0.372, 0.296)  0.01
O (0.372, 0.019, 0.704)  0.01
O (0.609, 0.372, 0.704)  0.01
O (0.019, 0.609, 0.704)  0.01
O (0.372, 0.609, 0.296)  0.01
O (0.609, 0.019, 0.296)  0.01

Summary:
Space group   P312, No. 149
Crystal system   trigonal

=====

Number 1: raw formation energy 0.5532 eV per atom, V 17.64 Å³ per atom. Number 2: raw formation energy 0.3082 eV per atom, V 16.19 Å³ per atom. Number 3: raw formation energy -1.6502 eV per atom, V 14.54 Å³ per atom. Number 4: raw formation energy 0.5810 eV per atom, V 21.77 Å³ per atom. Number 5: raw formation energy 0.5625 eV per atom, V 13.85 Å³ per atom. Number 6: raw formation energy 0.2261 eV per atom, V 21.96 Å³ per atom. Number 7: raw formation energy -1.2405 eV per atom, V 26.41 Å³ per atom. Number 8: raw formation energy -0.7609 eV per atom, V 15.45 Å³ per atom. Number 9: raw formation energy -2.4941 eV per atom, V 17.51 Å³ per atom. Number 10: raw formation energy -2.4254 eV per atom, V 14.24 Å³ per atom. Number 11: raw formation energy -0.5862 eV per atom, V 17.49 Å³ per atom. Number 12: raw formation energy -0.6287 eV per atom, V 19.71 Å³ per atom. Number 13: raw formation energy -0.7408 eV per atom, V 18.32 Å³ per atom. Number 14: raw formation energy -0.6169 eV per atom, V 20.45 Å³ per atom. Number 15: raw formation energy -0.6198 eV per atom, V 21.16 Å³ per atom. Number 16: raw formation energy -0.7090 eV per atom, V 17.66 Å³ per atom. Number 17: raw formation energy -0.5741 eV per atom, V 15.92 Å³ per atom. Number 18: raw formation energy -0.3672 eV per atom, V 16.80 Å³ per atom. Number 19: raw formation energy -0.6451 eV per atom, V 20.22 Å³ per atom. Number 20: raw formation energy -1.4245 eV per atom, V 12.04 Å³ per atom.